Record 1
Computed, not measured: a relaxed Li2CuNi2 crystal at the GGA-PBE level of DFT.

Computed properties:
volume	12.27	Å³ per atom
SG	No. 139
Fermi-level density of states	3.80	states/eV/cell
magnetization	0.00	μB/cell
uncorrected energy	-3.5161	eV per atom

a b c (Å): 3.1419 3.1419 12.4247
angles (deg): 90.00 90.00 90.00
Atoms (fractional coordinates):
Li (0.0000, 0.5000, 0.2500)
Li (0.0000, 0.5000, 0.7500)
Li (0.5000, 0.0000, 0.2500)
Li (0.5000, 0.0000, 0.7500)
Cu (0.0000, 0.0000, 0.0000)
Cu (0.5000, 0.5000, 0.5000)
Ni (0.0000, 0.0000, 0.4046)
Ni (0.0000, 0.0000, 0.5954)
Ni (0.5000, 0.5000, 0.0954)
Ni (0.5000, 0.5000, 0.9046)

=====

Record 2
Computed, not measured: a relaxed LiCu6Ni4 crystal at the GGA-PBE level of DFT.

Computed properties:
volume	13.79	Å³ per atom
SG	No. 121
Fermi-level density of states	9.11	states/eV/cell
magnetization	0.00	μB/cell
uncorrected energy	-4.1844	eV per atom

a b c (Å): 6.1323 6.1323 6.1323
angles (deg): 124.12 124.12 83.00
Atoms (fractional coordinates):
Li (0.0000, 0.0000, 0.0000)
Cu (0.0000, 0.5000, 0.5000)
Cu (0.0839, 0.5664, 0.0000)
Cu (0.4336, 0.4336, 0.5175)
Cu (0.5000, 0.0000, 0.5000)
Cu (0.5664, 0.0839, 0.0000)
Cu (0.9161, 0.9161, 0.4825)
Ni (0.2580, 0.2580, 0.6982)
Ni (0.4402, 0.7420, 0.0000)
Ni (0.5598, 0.5598, 0.3018)
Ni (0.7420, 0.4402, 0.0000)

=====

Record 3
Computed, not measured: a relaxed Li2Cu3Ni4 crystal at the GGA-PBE level of DFT.

Computed properties:
volume	11.41	Å³ per atom
SG	No. 12
Fermi-level density of states	8.51	states/eV/cell
magnetization	0.31	μB/cell
uncorrected energy	-4.3694	eV per atom

a b c (Å): 6.6844 6.6844 6.9252
angles (deg): 114.80 114.80 21.54
Atoms (fractional coordinates):
Li (0.1627, 0.1627, 0.0043)
Li (0.8373, 0.8373, 0.9957)
Cu (0.3516, 0.3516, 0.3352)
Cu (0.5000, 0.5000, 0.0000)
Cu (0.6484, 0.6484, 0.6648)
Ni (0.0184, 0.0184, 0.3312)
Ni (0.3167, 0.3167, 0.6612)
Ni (0.6833, 0.6833, 0.3388)
Ni (0.9816, 0.9816, 0.6688)

=====

Record 4
Computed, not measured: a relaxed Li3CuNi crystal at the GGA-PBE level of DFT.

Computed properties:
volume	14.63	Å³ per atom
SG	No. 12
Fermi-level density of states	3.96	states/eV/cell
magnetization	0.00	μB/cell
uncorrected energy	-3.0527	eV per atom

a b c (Å): 5.0404 5.0404 6.4721
angles (deg): 90.76 90.76 62.89
Atoms (fractional coordinates):
Li (0.0000, 0.0000, 0.0000)
Li (0.2486, 0.2486, 0.3109)
Li (0.2502, 0.7498, 0.5000)
Li (0.5000, 0.5000, 0.0000)
Li (0.7498, 0.2502, 0.5000)
Li (0.7514, 0.7514, 0.6891)
Cu (0.2510, 0.2510, 0.6933)
Cu (0.7490, 0.7490, 0.3067)
Ni (0.0000, 0.5000, 0.0000)
Ni (0.5000, 0.0000, 0.0000)

=====

Record 5
Computed, not measured: a relaxed Li5CuNi crystal at the GGA-PBE level of DFT.

Computed properties:
volume	14.89	Å³ per atom
SG	No. 15
Fermi-level density of states	6.08	states/eV/cell
magnetization	0.00	μB/cell
uncorrected energy	-2.7339	eV per atom

a b c (Å): 4.6467 4.6467 9.7306
angles (deg): 91.65 91.65 83.28
Atoms (fractional coordinates):
Li (0.0412, 0.3355, 0.6013)
Li (0.0490, 0.3605, 0.8877)
Li (0.1772, 0.8228, 0.7500)
Li (0.3355, 0.0412, 0.1013)
Li (0.3605, 0.0490, 0.3877)
Li (0.6395, 0.9510, 0.6123)
Li (0.6645, 0.9588, 0.8987)
Li (0.8228, 0.1772, 0.2500)
Li (0.9510, 0.6395, 0.1123)
Li (0.9588, 0.6645, 0.3987)
Cu (0.4284, 0.5716, 0.2500)
Cu (0.5716, 0.4284, 0.7500)
Ni (0.5000, 0.5000, 0.0000)
Ni (0.5000, 0.5000, 0.5000)

=====

Record 6
Computed, not measured: a relaxed Li4Cu4Ni3 crystal at the GGA-PBE level of DFT.

Computed properties:
volume	12.97	Å³ per atom
SG	No. 71
Fermi-level density of states	5.39	states/eV/cell
magnetization	0.00	μB/cell
uncorrected energy	-3.7391	eV per atom

a b c (Å): 8.6197 8.6197 8.6197
angles (deg): 163.52 128.09 54.85
Atoms (fractional coordinates):
Li (0.0342, 0.8481, 0.1861)
Li (0.3381, 0.1519, 0.1861)
Li (0.6619, 0.8481, 0.8139)
Li (0.9658, 0.1519, 0.8139)
Cu (0.2765, 0.7765, 0.5000)
Cu (0.2772, 0.0000, 0.2772)
Cu (0.7228, 0.0000, 0.7228)
Cu (0.7235, 0.2235, 0.5000)
Ni (0.0000, 0.5000, 0.5000)
Ni (0.4132, 0.4132, 0.0000)
Ni (0.5868, 0.5868, 0.0000)

=====

Record 7
Computed, not measured: a relaxed LiCuNi14 crystal at the GGA-PBE level of DFT.

Computed properties:
volume	10.95	Å³ per atom
SG	No. 38
Fermi-level density of states	24.11	states/eV/cell
magnetization	8.78	μB/cell
uncorrected energy	-5.4253	eV per atom

a b c (Å): 8.1662 4.9807 4.9807
angles (deg): 59.86 90.00 90.00
Atoms (fractional coordinates):
Li (0.0000, 0.0000, 0.0000)
Cu (0.0000, 0.4999, 0.4999)
Ni (0.0000, 0.0007, 0.5008)
Ni (0.0000, 0.5008, 0.0007)
Ni (0.2483, 0.6667, 0.6667)
Ni (0.2496, 0.1667, 0.1667)
Ni (0.2525, 0.1649, 0.6652)
Ni (0.2525, 0.6652, 0.1649)
Ni (0.5000, 0.3322, 0.3322)
Ni (0.5000, 0.3327, 0.8327)
Ni (0.5000, 0.8324, 0.8324)
Ni (0.5000, 0.8327, 0.3327)
Ni (0.7475, 0.1649, 0.6652)
Ni (0.7475, 0.6652, 0.1649)
Ni (0.7504, 0.1667, 0.1667)
Ni (0.7517, 0.6667, 0.6667)

=====

Record 8
Computed, not measured: a relaxed Li2Cu2Ni crystal at the GGA-PBE level of DFT.

Computed properties:
volume	13.00	Å³ per atom
SG	No. 139
Fermi-level density of states	8.50	states/eV/cell
magnetization	0.00	μB/cell
uncorrected energy	-3.2198	eV per atom

a b c (Å): 3.2683 3.2683 12.1673
angles (deg): 90.00 90.00 90.00
Atoms (fractional coordinates):
Li (0.0000, 0.5000, 0.2500)
Li (0.0000, 0.5000, 0.7500)
Li (0.5000, 0.0000, 0.2500)
Li (0.5000, 0.0000, 0.7500)
Cu (0.0000, 0.0000, 0.0948)
Cu (0.0000, 0.0000, 0.9052)
Cu (0.5000, 0.5000, 0.4052)
Cu (0.5000, 0.5000, 0.5948)
Ni (0.0000, 0.0000, 0.5000)
Ni (0.5000, 0.5000, 0.0000)

=====

Among the records above, which one has the lowest volume?
LiCuNi14